i) SnB3Te | Alexandria via LeMat-Bulk | GGA-PBE | relaxed; total magnetization = 0.00 μB per cell
1.0
4.573 0.000 0.000
0.000 4.573 0.000
0.000 0.000 4.573
Sn B Te
1 3 1
direct
0.000 0.000 0.000
0.000 0.000 0.500
0.000 0.500 0.000
0.500 0.000 0.000
0.500 0.500 0.500

ii) SnB3Te | Alexandria via LeMat-Bulk | GGA-PBE | relaxed; total magnetization = 0.00 μB per cell
1.0
4.480 0.000 0.000
0.000 4.480 0.000
0.000 0.000 4.480
Sn B Te
1 3 1
direct
0.000 0.000 0.000
0.000 0.500 0.500
0.500 0.000 0.500
0.500 0.500 0.000
0.500 0.500 0.500

Name the most stable of them. i).

i) Sn3BTe | Alexandria via LeMat-Bulk | GGA-PBE | relaxed; total magnetization = 0.00 μB per cell
1.0
4.982 0.000 0.000
0.000 4.982 0.000
0.000 0.000 4.982
Sn B Te
3 1 1
direct
0.000 0.000 0.500
0.000 0.500 0.000
0.500 0.000 0.000
0.000 0.000 0.000
0.500 0.500 0.500

ii) Sn3BTe | Alexandria via LeMat-Bulk | GGA-PBE | relaxed; total magnetization = 0.00 μB per cell
1.0
5.884 0.000 0.000
0.000 5.884 0.000
0.000 0.000 5.884
Sn B Te
3 1 1
direct
0.000 0.000 0.500
0.000 0.500 0.000
0.500 0.000 0.000
0.500 0.500 0.500
0.000 0.000 0.000

Name the most stable of them. i).

i) TiSn3B | Alexandria via LeMat-Bulk | GGA-PBE | relaxed; total magnetization = 0.00 μB per cell
1.0
5.265 0.000 0.000
0.000 5.265 0.000
0.000 0.000 5.265
Ti Sn B
1 3 1
direct
0.000 0.000 0.000
0.000 0.000 0.500
0.000 0.500 0.000
0.500 0.000 0.000
0.500 0.500 0.500

ii) TiSn3B | Alexandria via LeMat-Bulk | GGA-PBE | relaxed; total magnetization = 0.00 μB per cell
1.0
4.786 0.000 0.000
0.000 4.786 0.000
0.000 0.000 4.786
Ti Sn B
1 3 1
direct
0.000 0.000 0.000
0.000 0.500 0.500
0.500 0.000 0.500
0.500 0.500 0.000
0.500 0.500 0.500

Name the most stable of them. ii).

i) Ti4Sn2B | Alexandria via LeMat-Bulk | GGA-PBE | relaxed; total magnetization = 0.00 μB per cell
1.0
7.468 0.000 0.000
0.000 10.402 0.000
0.000 0.000 3.242
Ti Sn B
8 4 2
direct
0.131 0.183 0.000
0.171 0.929 0.500
0.329 0.429 0.500
0.369 0.683 0.000
0.631 0.317 0.000
0.671 0.571 0.500
0.829 0.071 0.500
0.869 0.817 0.000
0.059 0.640 0.500
0.441 0.140 0.500
0.559 0.860 0.500
0.941 0.360 0.500
0.000 0.000 0.000
0.500 0.500 0.000

ii) Ti4Sn2B | Alexandria via LeMat-Bulk | GGA-PBE | relaxed; total magnetization = 0.02 μB per cell
1.0
-2.119 2.119 7.139
2.119 -2.119 7.139
2.119 2.119 -7.139
Ti Sn B
4 2 1
direct
0.000 0.500 0.500
0.152 0.152 0.000
0.500 0.000 0.500
0.848 0.848 0.000
0.355 0.355 0.000
0.645 0.645 0.000
0.000 0.000 0.000

Name the most stable of them. ii).

i) Tl2SnB | Alexandria via LeMat-Bulk | GGA-PBE | relaxed; total magnetization = 0.00 μB per cell
1.0
0.000 3.683 3.683
3.683 0.000 3.683
3.683 3.683 0.000
Tl Sn B
2 1 1
direct
0.250 0.250 0.250
0.750 0.750 0.750
0.000 0.000 0.000
0.500 0.500 0.500

ii) Tl2SnB | Alexandria via LeMat-Bulk | GGA-PBE | relaxed; total magnetization = 0.00 μB per cell
1.0
-3.335 3.335 4.972
3.335 -3.335 4.972
3.335 3.335 -4.972
Tl Sn B
4 2 2
direct
0.019 0.625 0.894
0.375 0.269 0.394
0.731 0.125 0.106
0.875 0.981 0.606
0.250 0.750 0.500
0.500 0.500 0.000
0.000 0.000 0.000
0.750 0.250 0.500

Name the most stable of them. ii).

i) TlSn2B | Alexandria via LeMat-Bulk | GGA-PBE | relaxed; total magnetization = 0.00 μB per cell
1.0
0.000 3.605 3.605
3.605 0.000 3.605
3.605 3.605 0.000
Tl Sn B
1 2 1
direct
0.000 0.000 0.000
0.250 0.250 0.250
0.750 0.750 0.750
0.500 0.500 0.500

ii) TlSn2B | Alexandria via LeMat-Bulk | GGA-PBE | relaxed; total magnetization = 0.00 μB per cell
1.0
-3.168 3.168 5.335
3.168 -3.168 5.335
3.168 3.168 -5.335
Tl Sn B
2 4 2
direct
0.000 0.000 0.000
0.750 0.250 0.500
0.220 0.625 0.095
0.375 0.470 0.595
0.530 0.125 0.905
0.875 0.780 0.405
0.250 0.750 0.500
0.500 0.500 0.000

Name the most stable of them. ii).

i) VSn3B | Alexandria via LeMat-Bulk | GGA-PBE | relaxed; total magnetization = 0.22 μB per cell
1.0
5.119 0.000 0.000
0.000 5.119 0.000
0.000 0.000 5.119
V Sn B
1 3 1
direct
0.000 0.000 0.000
0.000 0.000 0.500
0.000 0.500 0.000
0.500 0.000 0.000
0.500 0.500 0.500

ii) VSn3B | Alexandria via LeMat-Bulk | GGA-PBE | relaxed; total magnetization = 3.43 μB per cell
1.0
4.776 0.000 0.000
0.000 4.776 0.000
0.000 0.000 4.776
V Sn B
1 3 1
direct
0.000 0.000 0.000
0.000 0.500 0.500
0.500 0.000 0.500
0.500 0.500 0.000
0.500 0.500 0.500

Name the most stable of them. ii).

i) SnBW2 | Alexandria via LeMat-Bulk | GGA-PBE | relaxed; total magnetization = 0.00 μB per cell
1.0
0.000 3.116 3.116
3.116 0.000 3.116
3.116 3.116 0.000
Sn B W
1 1 2
direct
0.000 0.000 0.000
0.500 0.500 0.500
0.250 0.250 0.250
0.750 0.750 0.750

ii) SnBW2 | Alexandria via LeMat-Bulk | GGA-PBE | relaxed; total magnetization = 0.00 μB per cell
1.0
-2.499 2.499 6.422
2.499 -2.499 6.422
2.499 2.499 -6.422
Sn B W
2 2 4
direct
0.000 0.000 0.000
0.750 0.250 0.500
0.250 0.750 0.500
0.500 0.500 0.000
0.266 0.625 0.141
0.375 0.516 0.641
0.484 0.125 0.859
0.875 0.734 0.359

Name the most stable of them. i).